No. 1
This record from the Alexandria database describes a geometry-optimized SrReMo2 structure. The functional is PBE.

Computed properties:
M_tot ... 0.00 μB per atom
Energy relative to the elements ... 66.3 kJ per mole of atoms
Final energy ... -8.260 eV per atom
Crystal system ... tetragonal
Calculated volume ... 20.21 A^3/atom

Lattice parameters (Å, degrees): 3.147 3.146 8.165 90.00 90.00 90.00
Sites, in units of the cell vectors:
Mo  0.000  0.000  0.432
Re  0.500  0.500  0.250
Mo  0.000  0.000  0.068
Sr  0.500  0.500  0.750



No. 2
This record from the Alexandria database describes a geometry-optimized SiAsPRh2C structure. The functional is PBE.

Computed properties:
M_tot ... 0.00 μB per atom
Final energy ... -6.667 eV per atom
Uncorrected formation energy ... -99 meV per atom
Crystal system ... monoclinic
Calculated volume ... 15.14 A^3/atom

Lattice parameters (Å, degrees): 7.343 3.123 9.352 90.00 122.10 90.00
Sites, in units of the cell vectors:
Rh  0.081  0.000  0.275
P  0.772  0.000  0.995
Rh  0.081  0.500  0.775
C  0.304  0.000  0.197
Si  0.294  0.500  0.084
As  0.820  0.000  0.769
Si  0.294  0.000  0.584
P  0.772  0.500  0.495
As  0.820  0.500  0.269
Rh  0.521  0.500  0.960
Rh  0.521  0.000  0.460
C  0.304  0.500  0.697